The following is a DFT calculation (GGA-PBE) of a relaxed structure of CsAlCuS3.

a b c (Å): 8.9747 3.5869 9.9674
angles (deg): 90.00 115.12 90.00
Space group P2_1/m (No. 11)
Symmetry-distinct sites (fractional):
1 Cs 0.2222 0.2500 0.2452 x2
2 Al 0.3418 0.7500 0.8867 x2
3 Cu 0.0858 0.2500 0.6034 x2
4 S 0.1497 0.2500 0.8556 x2
5 S 0.1953 0.7500 0.5384 x2
6 S 0.4907 0.7500 0.1447 x2

Calculated values
The calculation puts the total energy at -4.249 eV/atom. The calculation puts the calculated density at 3.65 Mg/m³.

***

The following is a DFT calculation (GGA-PBE) of a relaxed structure of CsAlCuSe3.

a b c (Å): 16.5897 3.7737 10.3320
angles (deg): 90.00 90.00 90.00
Space group Pnma (No. 62)
Symmetry-distinct sites (fractional):
1 Cs 0.2357 0.2500 0.0408 x4
2 Al 0.0177 0.2500 0.3539 x4
3 Cu 0.0122 0.7500 0.0850 x4
4 Se 0.0769 0.7500 0.8725 x4
5 Se 0.0807 0.2500 0.5777 x4
6 Se 0.1079 0.7500 0.2657 x4

Calculated values
The calculation puts the total energy at -3.845 eV/atom. The calculation puts the calculated density at 4.73 Mg/m³.

***

The following is a DFT calculation (GGA-PBE) of a relaxed structure of CsAlCuTe3.

a b c (Å): 17.7019 4.0279 11.0121
angles (deg): 90.00 90.00 90.00
Space group Pnma (No. 62)
Symmetry-distinct sites (fractional):
1 Cs 0.2333 0.2500 0.0358 x4
2 Al 0.0154 0.2500 0.3469 x4
3 Cu 0.0101 0.7500 0.0756 x4
4 Te 0.0790 0.7500 0.8664 x4
5 Te 0.0852 0.2500 0.5728 x4
6 Te 0.1089 0.7500 0.2585 x4

Calculated values
The calculation puts the total energy at -3.432 eV/atom. The calculation puts the energy above the most stable polymorph in this dataset at 0.000 eV per atom. The calculation puts the calculated density at 5.13 Mg/m³.

***

The following is a DFT calculation (GGA-PBE) of a relaxed structure of CsAlCuTe3.

a b c (Å): 3.9584 17.2810 11.1285
angles (deg): 90.00 90.00 90.00
Space group Cmcm (No. 63)
Symmetry-distinct sites (fractional):
1 Cs 0.0000 0.2489 0.2500 x4
2 Al 0.0000 0.0000 0.0000 x4
3 Cu 0.0000 0.4600 0.7500 x4
4 Te 0.0000 0.0581 0.7500 x4
5 Te 0.0000 0.3901 0.5432 x8

Calculated values
The calculation puts the total energy at -3.401 eV/atom. The calculation puts the energy above the most stable polymorph in this dataset at 0.032 eV per atom. The calculation puts the calculated density at 5.29 Mg/m³.

***

The following is a DFT calculation (GGA-PBE) of a relaxed structure of CsAlCuTe3.

a b c (Å): 9.9674 4.0252 11.0238
angles (deg): 90.00 116.67 90.00
Space group P2_1/m (No. 11)
Symmetry-distinct sites (fractional):
1 Cs 0.2312 0.2500 0.2668 x2
2 Al 0.3319 0.7500 0.8565 x2
3 Cu 0.0641 0.2500 0.5827 x2
4 Te 0.1327 0.2500 0.8442 x2
5 Te 0.2271 0.7500 0.5670 x2
6 Te 0.4677 0.7500 0.1393 x2

Calculated values
The calculation puts the total energy at -3.431 eV/atom. The calculation puts the energy above the most stable polymorph in this dataset at 0.001 eV per atom. The calculation puts the calculated density at 5.09 Mg/m³.

***

The following is a DFT calculation (GGA-PBE) of a relaxed structure of CsDyAlSe3.

a b c (Å): 4.3488 15.9777 11.0354
angles (deg): 90.00 90.00 90.00
Space group Cmcm (No. 63)
Symmetry-distinct sites (fractional):
1 Cs 0.0000 0.2393 0.2500 x4
2 Dy 0.0000 0.5000 0.0000 x4
3 Al 0.0000 0.0295 0.7500 x4
4 Se 0.0000 0.1164 0.5679 x8
5 Se 0.0000 0.4497 0.7500 x4

Calculated values
The calculation puts the total energy at -4.559 eV/atom. The calculation puts the calculated density at 4.84 Mg/m³.